Computed, not measured: TmLuMg2 after structural relaxation at the PBEsol level of DFT.

Output
- density (g/cm3) = 6.465
- crystal system = cubic
- DFT formation energy (eV per atom) = -0.04
- size of the total moment (Bohr magnetons per cell) = 0.00

Cell: 5.2243 5.2243 5.2243 Å, 60.00 60.00 60.00°
Last column: nearest neighbours and their distance in Å.
Positions (direct):
Tm: 0.0000 0.0000 0.0000  8 Mg 3.20
Lu: 0.5000 0.5000 0.5000  8 Mg 3.20
Mg: 0.2500 0.2500 0.2500  4 Lu 3.20, 4 Tm 3.20
Mg: 0.7500 0.7500 0.7500  4 Lu 3.20, 4 Tm 3.20